No. 1
The following is a GGA-PBE calculation of a relaxed Th2MgZn12Cu3 crystal, from Alexandria.

Computed properties:
Crystal system: trigonal
E_form in meV/atom: 40

Geometry as CIF:
```
data_Th2MgZn12Cu3
_cell_length_a 6.2356
_cell_length_b 6.2356
_cell_length_c 30.0248
_cell_angle_alpha 90.00
_cell_angle_beta 90.00
_cell_angle_gamma 120.00
_space_group_name_H-M_alt 'R -3 m'
_space_group_IT_number 166
_space_group_name_Hall '-R 3 2"'
loop_
_atom_site_label
_atom_site_fract_x
_atom_site_fract_y
_atom_site_fract_z
_atom_site_occupancy
Th1 0.0000 0.0000 0.1409 1
Mg1 0.0000 0.0000 0.5000 1
Zn1 0.0247 0.5124 0.8988 1
Zn2 0.0663 0.5332 0.6215 1
Cu1 0.0000 0.5000 0.0000 1
```

=====

No. 2
The following is a GGA-PBE calculation of a relaxed ThMg2ZnCu2 crystal, from Alexandria.

Computed properties:
Crystal system: tetragonal
E_form in meV/atom: 149

Geometry as CIF:
```
data_ThMg2ZnCu2
_cell_length_a 4.9436
_cell_length_b 4.9436
_cell_length_c 10.5233
_cell_angle_alpha 90.00
_cell_angle_beta 90.00
_cell_angle_gamma 90.00
_space_group_name_H-M_alt 'I 4/m m m'
_space_group_IT_number 139
_space_group_name_Hall '-I 4 2'
loop_
_atom_site_label
_atom_site_fract_x
_atom_site_fract_y
_atom_site_fract_z
_atom_site_occupancy
Th1 0.0000 0.0000 0.0000 1
Mg1 0.0000 0.5000 0.2500 1
Zn1 0.0000 0.0000 0.5000 1
Cu1 0.0000 0.0000 0.2771 1
```

=====

No. 3
The following is a GGA-PBE calculation of a relaxed MgTiCu3 crystal, from Alexandria.

Computed properties:
Crystal system: cubic
Polymorph energy (0 for the lowest one) in eV per atom: 0.000
E_form in meV/atom: 919

Geometry as CIF:
```
data_MgTiCu3
_cell_length_a 4.6353
_cell_length_b 4.6353
_cell_length_c 4.6353
_cell_angle_alpha 90.00
_cell_angle_beta 90.00
_cell_angle_gamma 90.00
_space_group_name_H-M_alt 'P m -3 m'
_space_group_IT_number 221
_space_group_name_Hall '-P 4 2 3'
loop_
_atom_site_label
_atom_site_fract_x
_atom_site_fract_y
_atom_site_fract_z
_atom_site_occupancy
Mg1 0.0000 0.0000 0.0000 1
Ti1 0.5000 0.5000 0.5000 1
Cu1 0.0000 0.5000 0.5000 1
```

=====

No. 4
The following is a GGA-PBE calculation of a relaxed MgTi2Cu crystal, from Alexandria.

Computed properties:
Crystal system: trigonal
E_form in meV/atom: 318

Geometry as CIF:
```
data_MgTi2Cu
_cell_length_a 2.8017
_cell_length_b 2.8017
_cell_length_c 30.4885
_cell_angle_alpha 90.00
_cell_angle_beta 90.00
_cell_angle_gamma 120.00
_space_group_name_H-M_alt 'R -3 m'
_space_group_IT_number 166
_space_group_name_Hall '-R 3 2"'
loop_
_atom_site_label
_atom_site_fract_x
_atom_site_fract_y
_atom_site_fract_z
_atom_site_occupancy
Mg1 0.0000 0.0000 0.0000 1
Ti1 0.0000 0.0000 0.0942 1
Cu1 0.0000 0.0000 0.5000 1
```

=====

No. 5
The following is a GGA-PBE calculation of a relaxed MgTi2Cu crystal, from Alexandria.

Computed properties:
Crystal system: tetragonal
E_form in meV/atom: 78

Geometry as CIF:
```
data_MgTi2Cu
_cell_length_a 2.8302
_cell_length_b 2.8302
_cell_length_c 8.4672
_cell_angle_alpha 90.00
_cell_angle_beta 90.00
_cell_angle_gamma 90.00
_space_group_name_H-M_alt 'P 4/m m m'
_space_group_IT_number 123
_space_group_name_Hall '-P 4 2'
loop_
_atom_site_label
_atom_site_fract_x
_atom_site_fract_y
_atom_site_fract_z
_atom_site_occupancy
Mg1 0.0000 0.0000 0.0000 1
Ti1 0.5000 0.5000 0.2856 1
Cu1 0.0000 0.0000 0.5000 1
```

=====

No. 6
The following is a GGA-PBE calculation of a relaxed Mg3TiCu crystal, from Alexandria.

Computed properties:
Crystal system: cubic
Polymorph energy (0 for the lowest one) in eV per atom: 0.000
E_form in meV/atom: 471

Geometry as CIF:
```
data_Mg3TiCu
_cell_length_a 4.7437
_cell_length_b 4.7437
_cell_length_c 4.7437
_cell_angle_alpha 90.00
_cell_angle_beta 90.00
_cell_angle_gamma 90.00
_space_group_name_H-M_alt 'P m -3 m'
_space_group_IT_number 221
_space_group_name_Hall '-P 4 2 3'
loop_
_atom_site_label
_atom_site_fract_x
_atom_site_fract_y
_atom_site_fract_z
_atom_site_occupancy
Mg1 0.0000 0.0000 0.5000 1
Ti1 0.5000 0.5000 0.5000 1
Cu1 0.0000 0.0000 0.0000 1
```

=====

Number 1: DOS at the Fermi energy 25.31 states/eV per cell, volume 1011.0 Å³ per cell, mass density 7.21 Mg/m³. Number 2: DOS at the Fermi energy 5.76 states/eV per cell, volume 257.2 Å³ per cell, mass density 6.11 Mg/m³. Number 3: DOS at the Fermi energy 3.73 states/eV per cell, volume 99.6 Å³ per cell, mass density 4.38 Mg/m³. Number 4: DOS at the Fermi energy 15.81 states/eV per cell, volume 207.3 Å³ per cell, mass density 4.41 Mg/m³. Number 5: DOS at the Fermi energy 4.32 states/eV per cell, volume 67.8 Å³ per cell, mass density 4.49 Mg/m³. Number 6: DOS at the Fermi energy 5.51 states/eV per cell, volume 106.7 Å³ per cell, mass density 2.87 Mg/m³.